# V2SnP, optimized geometry, DFT PBE
# Formation energy: 0.13 eV/atom
# Electronic total energy: -6.78 eV/atom
# Total moment: 0.00 μB per atom
# Energy relative to the lowest polymorph listed for this composition: 0.086 eV/atom
data_V2SnP
_cell_length_a 6.2558
_cell_length_b 6.2558
_cell_length_c 6.2558
_cell_angle_alpha 90.00
_cell_angle_beta 90.00
_cell_angle_gamma 90.00
_space_group_name_H-M_alt 'F m -3 m'
_space_group_IT_number 225
_space_group_name_Hall '-F 4 2 3'
loop_
_atom_site_label
_atom_site_fract_x
_atom_site_fract_y
_atom_site_fract_z
V1 0.2500 0.2500 0.2500
Sn1 0.0000 0.0000 0.0000
P1 0.0000 0.0000 0.5000



# VSnP3, optimized geometry, DFT PBE
# Formation energy: 0.23 eV/atom
# Electronic total energy: -5.64 eV/atom
# Total moment: 0.00 μB per atom
# Energy relative to the lowest polymorph listed for this composition: 0.000 eV/atom
data_VSnP3
_cell_length_a 4.6123
_cell_length_b 4.6123
_cell_length_c 4.6123
_cell_angle_alpha 90.00
_cell_angle_beta 90.00
_cell_angle_gamma 90.00
_space_group_name_H-M_alt 'P m -3 m'
_space_group_IT_number 221
_space_group_name_Hall '-P 4 2 3'
loop_
_atom_site_label
_atom_site_fract_x
_atom_site_fract_y
_atom_site_fract_z
V1 0.0000 0.0000 0.0000
Sn1 0.5000 0.5000 0.5000
P1 0.0000 0.0000 0.5000



# V2SnP2, optimized geometry, DFT PBE
# Formation energy: -0.26 eV/atom
# Electronic total energy: -6.87 eV/atom
# Total moment: 0.00 μB per atom
data_V2SnP2
_cell_length_a 7.0758
_cell_length_b 7.0758
_cell_length_c 3.0339
_cell_angle_alpha 90.00
_cell_angle_beta 90.00
_cell_angle_gamma 90.00
_space_group_name_H-M_alt 'P 4/m b m'
_space_group_IT_number 127
_space_group_name_Hall '-P 4 2ab'
loop_
_atom_site_label
_atom_site_fract_x
_atom_site_fract_y
_atom_site_fract_z
V1 0.1424 0.3577 0.0000
Sn1 0.0000 0.0000 0.0000
P1 0.1371 0.6371 0.5000